Entry 1:
Density functional theory data (PBE) for a geometry-optimized Nd3HoO6 structure.

Summary:
The calculation puts the total energy at -8.287 eV/atom.

a = 9.9225 Å, b = 9.9225 Å, c = 11.5736 Å
α = 90.00°, β = 90.00°, γ = 120.00°
Last column: nearest neighbours and their distance in Å.
Space group R-3 (No. 148, hexagonal axes)
One atom of each set of equivalent atoms:
Nd1 0.0389 0.7729 0.2091 x18  6 O 2.32-2.46
Ho1 0.0000 0.0000 0.0000 x3  6 O 2.24
Ho2 0.0000 0.0000 0.5000 x3  6 O 2.28
O1 0.0285 0.8148 0.4050 x18  1 Ho 2.28, 3 Nd 2.32-2.46
O2 0.0276 0.8425 0.8756 x18  1 Ho 2.24, 3 Nd 2.35-2.41

Entry 2:
Density functional theory data (PBE) for a geometry-optimized GdTmMg structure.

Summary:
The calculation puts the total energy at -3.604 eV/atom.

a = 3.6419 Å, b = 17.2686 Å, c = 5.4383 Å
α = 90.00°, β = 90.00°, γ = 90.00°
Last column: nearest neighbours and their distance in Å.
Space group Cmcm (No. 63)
One atom of each set of equivalent atoms:
Gd1 0.0000 0.2256 0.2500 x4  2 Mg 3.35, 6 Gd 3.38-3.64, 4 Tm 3.53-3.59
Tm1 0.0000 0.0951 0.7500 x4  6 Mg 3.28-3.32, 4 Gd 3.53-3.59, 2 Tm 3.64
Mg1 0.0000 0.4374 0.7500 x4  6 Tm 3.28-3.32, 2 Gd 3.35, 4 Mg 3.47-3.64

Entry 3:
Density functional theory data (PBE) for a geometry-optimized AgSn2Ge structure.

Summary:
The calculation puts the total energy at -3.642 eV/atom.

a = 7.2088 Å, b = 7.2088 Å, c = 7.2088 Å
α = 90.00°, β = 90.00°, γ = 90.00°
Last column: nearest neighbours and their distance in Å.
Space group F-43m (No. 216)
One atom of each set of equivalent atoms:
Ag1 0.0000 0.0000 0.0000 x4  4 Ge 3.12, 4 Sn 3.12
Sn1 0.0000 0.0000 0.5000 x4  4 Ge 3.12, 4 Sn 3.12
Sn2 0.2500 0.2500 0.2500 x4  4 Sn 3.12, 4 Ag 3.12
Ge1 0.2500 0.2500 0.7500 x4  4 Sn 3.12, 4 Ag 3.12